(1)
VASP calculation (GGA-PBEsol) on a relaxed structure of SrCoBr2.

The space group is P4/mmm (No. 123) and the conventional cell measures 4.827, 4.827 and 3.793 Å, with angles of 90.00, 90.00 and 90.00 degrees. The inequivalent atoms are Sr at (0.000, 0.000, 0.000), Co at (0.500, 0.500, 0.000) and Br at (0.000, 0.500, 0.500).

As for the volume: 88.39 Å³/f.u. Its density of states at the Fermi level is 1.50 states/eV/atom. The total energy is -15.1 eV/cell. The offset from the most stable computed form comes out at 80.0 meV per atom.

***

(2)
VASP calculation (GGA-PBEsol) on a relaxed structure of SrCo2Br.

The space group is Pmmm (No. 47) and the conventional cell measures 3.614, 4.246 and 5.260 Å, with angles of 90.00, 90.00 and 90.00 degrees. The inequivalent atoms are Sr at (0.000, 0.000, 0.000), Co at (0.000, 0.500, 0.500), Co at (0.500, 0.000, 0.500) and Br at (0.500, 0.500, 0.000).

As for the volume: 80.73 Å³/f.u. Its density of states at the Fermi level is 0.91 states/eV/atom. The total energy is -17.3 eV/cell.

***

(3)
VASP calculation (GGA-PBEsol) on a relaxed structure of Sr3CoBr.

The space group is Pm-3m (No. 221) and the conventional cell measures 5.782, 5.782 and 5.782 Å, with angles of 90.00, 90.00 and 90.00 degrees. The inequivalent atoms are Sr at (0.000, 0.000, 0.500), Co at (0.500, 0.500, 0.500) and Br at (0.000, 0.000, 0.000).

As for the volume: 193.25 Å³/f.u. Its density of states at the Fermi level is 1.21 states/eV/atom. The total energy is -13.8 eV/cell.

***

(4)
VASP calculation (GGA-PBEsol) on a relaxed structure of SrCoBr2.

The space group is R-3m (No. 166, hexagonal axes) and the conventional cell measures 4.3005, 4.3005 and 16.8605 Å, with angles of 90.00, 90.00 and 120.00 degrees. The inequivalent atoms are Sr at (0.0000, 0.0000, 0.0000), Co at (0.0000, 0.0000, 0.5000) and Br at (0.0000, 0.0000, 0.2296).

As for the volume: 90.02 Å³/f.u. Its density of states at the Fermi level is 1.15 states/eV/atom. The total energy is -46.2 eV/cell. The offset from the most stable computed form comes out at 0.0 meV per atom.

***

(5)
VASP calculation (GGA-PBEsol) on a relaxed structure of TaCo4Br.

The space group is F-43m (No. 216) and the conventional cell measures 6.726, 6.726 and 6.726 Å, with angles of 90.00, 90.00 and 90.00 degrees. The inequivalent atoms are Ta at (0.000, 0.000, 0.000), Co at (0.126, 0.126, 0.374) and Br at (0.250, 0.250, 0.750).

As for the volume: 76.07 Å³/f.u. Its density of states at the Fermi level is 1.57 states/eV/atom. The total energy is -171.3 eV/cell.

***

(6)
VASP calculation (GGA-PBEsol) on a relaxed structure of CoTeBr2.

The space group is Imm2 (No. 44) and the conventional cell measures 3.563, 5.455 and 11.778 Å, with angles of 90.00, 90.00 and 90.00 degrees. The inequivalent atoms are Co at (0.000, 0.000, 0.000), Te at (0.000, 0.500, 0.641), Br at (0.000, 0.000, 0.581) and Br at (0.000, 0.500, 0.363).

As for the volume: 114.47 Å³/f.u. Its density of states at the Fermi level is 0.57 states/eV/atom. The total energy is -30.1 eV/cell.

***

(7)
VASP calculation (GGA-PBEsol) on a relaxed structure of CoTe2Br.

The space group is P4/mmm (No. 123) and the conventional cell measures 3.264, 3.264 and 7.910 Å, with angles of 90.00, 90.00 and 90.00 degrees. The inequivalent atoms are Co at (0.000, 0.000, 0.000), Te at (0.500, 0.500, 0.188) and Br at (0.000, 0.000, 0.500).

As for the volume: 84.28 Å³/f.u. Its density of states at the Fermi level is 0.71 states/eV/atom. The total energy is -16.3 eV/cell. The offset from the most stable computed form comes out at 339.7 meV per atom.

***

(8)
VASP calculation (GGA-PBEsol) on a relaxed structure of CoTe2Br.

The space group is R-3m (No. 166, hexagonal axes) and the conventional cell measures 3.7502, 3.7502 and 22.2359 Å, with angles of 90.00, 90.00 and 120.00 degrees. The inequivalent atoms are Co at (0.0000, 0.0000, 0.0000), Te at (0.0000, 0.0000, 0.2760) and Br at (0.0000, 0.0000, 0.5000).

As for the volume: 90.28 Å³/f.u. Its density of states at the Fermi level is 0.71 states/eV/atom. The total energy is -52.9 eV/cell. The offset from the most stable computed form comes out at 0.0 meV per atom.

***

It is found that the total moment values, taken in the order of the records, are 1.7, 3.3, 0.2, 3.2, 15.4, 2.0, 0.1, 0.0 μB/cell.